# 1
The following is a DFT calculation (GGA-PBE) of a relaxed BAsPt crystal.

Computed properties:
formation enthalpy at 0 K = 17 kJ/mol of atoms
volume = 167.9 Å³/cell
SG = P2_1/c, No. 14
final energy = -16.83 eV per formula unit
calculated density = 11.1 g cm⁻³
M_tot = 0.00 μB/cell
DOS at the Fermi energy = 1.12 states/eV/f.u.

Lattice parameters (Å, degrees): 5.424 5.945 5.432 106.62 90.00 90.00
Sites, in units of the cell vectors:
Pt  0.324  0.882  0.608
Pt  0.824  0.118  0.892
Pt  0.176  0.882  0.108
Pt  0.676  0.118  0.392
B  0.024  0.278  0.243
B  0.976  0.722  0.757
B  0.476  0.278  0.743
B  0.524  0.722  0.257
As  0.418  0.343  0.160
As  0.082  0.343  0.660
As  0.582  0.657  0.840
As  0.918  0.657  0.340

=====

# 2
The following is a DFT calculation (GGA-PBE) of a relaxed FeCo2Si crystal.

Computed properties:
volume = 43.4 Å³/cell
SG = P4mm, No. 99
final energy = -28.93 eV per formula unit
calculated density = 7.7 g cm⁻³
M_tot = 3.95 μB/cell
DOS at the Fermi energy = 4.00 states/eV/f.u.
E_form (uncorrected) = -0.8 eV per formula unit

Lattice parameters (Å, degrees): 2.737 2.737 5.789 90.00 90.00 90.00
Sites, in units of the cell vectors:
Co  0.000  0.000  0.984
Co  0.500  0.500  0.253
Si  0.500  0.500  0.752
Fe  0.000  0.000  0.510

=====

# 3
The following is a DFT calculation (GGA-PBE) of a relaxed Si2TeAu crystal.

Computed properties:
volume = 86.4 Å³/cell
SG = Imm2, No. 44
final energy = -16.11 eV per formula unit
calculated density = 7.3 g cm⁻³
M_tot = 0.00 μB/cell
DOS at the Fermi energy = 1.58 states/eV/f.u.
E_form (uncorrected) = 1.2 eV per formula unit

Lattice parameters (Å, degrees): 7.283 7.283 7.283 152.89 150.55 40.45
Sites, in units of the cell vectors:
Si  0.795  0.295  0.500
Si  0.931  0.931  0.000
Te  0.529  0.529  0.000
Au  0.245  0.745  0.500

=====

# 4
The following is a DFT calculation (GGA-PBE) of a relaxed Pa3Al7Fe4 crystal.

Computed properties:
formation enthalpy at 0 K = -32 kJ/mol of atoms
volume = 233.1 Å³/cell
SG = C2/m, No. 12
final energy = -93.20 eV per formula unit
calculated density = 7.9 g cm⁻³
M_tot = 0.00 μB/cell
DOS at the Fermi energy = 12.00 states/eV/f.u.

Lattice parameters (Å, degrees): 4.133 7.533 8.461 68.81 75.86 74.08
Sites, in units of the cell vectors:
Al  0.486  0.238  0.790
Al  0.321  0.838  0.521
Al  0.850  0.385  0.915
Al  0.679  0.162  0.479
Al  0.514  0.762  0.210
Al  0.000  0.000  0.000
Al  0.150  0.615  0.085
Fe  0.684  0.424  0.208
Fe  0.096  0.155  0.653
Fe  0.904  0.845  0.347
Fe  0.316  0.576  0.792
Pa  0.695  0.815  0.794
Pa  0.000  0.500  0.500
Pa  0.305  0.185  0.206

=====

# 5
The following is a DFT calculation (GGA-PBE) of a relaxed Rb3Pr3AlTe8 crystal.

Computed properties:
volume = 625.6 Å³/cell
SG = R-3m, No. 166
final energy = -62.59 eV per formula unit
calculated density = 4.6 g cm⁻³
M_tot = 0.00 μB/cell
DOS at the Fermi energy = 12.46 states/eV/f.u.
E_form (uncorrected) = -16.5 eV per formula unit

Lattice parameters (Å, degrees): 9.015 9.017 10.299 115.97 90.00 119.99
Sites, in units of the cell vectors:
Te  0.736  0.473  0.709
Te  0.786  0.025  0.311
Te  0.214  0.975  0.689
Te  0.264  0.527  0.291
Te  0.761  0.975  0.689
Te  0.786  0.572  0.311
Te  0.239  0.025  0.311
Te  0.214  0.428  0.689
Al  0.000  0.000  0.500
Rb  0.500  0.500  0.000
Rb  0.000  0.500  0.000
Rb  0.000  0.000  0.000
Pr  0.500  0.500  0.500
Pr  0.000  0.500  0.500
Pr  0.500  0.000  0.500

=====

# 6
The following is a DFT calculation (GGA-PBE) of a relaxed Zr2ScSb crystal.

Computed properties:
volume = 87.6 Å³/cell
SG = F-43m, No. 216
final energy = -28.57 eV per formula unit
calculated density = 6.6 g cm⁻³
M_tot = 0.57 μB/cell
DOS at the Fermi energy = 6.14 states/eV/f.u.
E_form (uncorrected) = -1.0 eV per formula unit

Lattice parameters (Å, degrees): 4.986 4.986 4.986 60.00 60.00 60.00
Sites, in units of the cell vectors:
Sc  0.250  0.250  0.250
Zr  0.000  0.000  0.000
Zr  0.750  0.750  0.750
Sb  0.500  0.500  0.500

=====

# 7
The following is a DFT calculation (GGA-PBE) of a relaxed Ho5GaCu2 crystal.

Computed properties:
formation enthalpy at 0 K = -26 kJ/mol of atoms
volume = 382.8 Å³/cell
SG = I4/mcm, No. 140
final energy = -36.27 eV per formula unit
calculated density = 8.9 g cm⁻³
M_tot = 0.00 μB/cell
DOS at the Fermi energy = 10.07 states/eV/f.u.

Lattice parameters (Å, degrees): 7.708 7.708 8.440 117.17 117.17 90.00
Sites, in units of the cell vectors:
Ho  0.987  0.487  0.292
Ho  0.500  0.500  0.000
Ho  0.013  0.513  0.708
Ho  0.805  0.987  0.292
Ho  0.305  0.805  0.292
Ho  0.000  0.000  0.000
Ho  0.487  0.305  0.292
Ho  0.513  0.695  0.708
Ho  0.195  0.013  0.708
Ho  0.695  0.195  0.708
Cu  0.874  0.626  0.000
Cu  0.126  0.374  0.000
Cu  0.626  0.126  0.000
Cu  0.374  0.874  0.000
Ga  0.250  0.250  0.500
Ga  0.750  0.750  0.500

=====

# 8
The following is a DFT calculation (GGA-PBE) of a relaxed CaSeS crystal.

Computed properties:
volume = 78.1 Å³/cell
SG = P1, No. 1
final energy = -13.30 eV per formula unit
calculated density = 3.2 g cm⁻³
M_tot = 0.00 μB/cell
distance to the lowest polymorph of the same formula = 12.5 kJ/mol of formula units
E_form (uncorrected) = -3.7 eV per formula unit

Lattice parameters (Å, degrees): 4.040 4.165 5.259 68.55 72.86 89.95
Sites, in units of the cell vectors:
Ca  0.985  0.292  0.409
Se  0.339  0.844  0.809
S  0.500  0.817  0.358

=====

# 9
The following is a DFT calculation (GGA-PBE) of a relaxed FeHIr2 crystal.

Computed properties:
volume = 91.3 Å³/cell
SG = I-42d, No. 122
final energy = -28.58 eV per formula unit
calculated density = 16.1 g cm⁻³
M_tot = 6.01 μB/cell
distance to the lowest polymorph of the same formula = 0.0 kJ/mol of formula units
DOS at the Fermi energy = 2.36 states/eV/f.u.

Lattice parameters (Å, degrees): 6.072 6.072 4.957 52.23 52.23 90.00
Sites, in units of the cell vectors:
H  0.250  0.750  0.500
H  0.500  0.500  0.000
Fe  0.750  0.250  0.500
Fe  0.000  0.000  0.000
Ir  0.375  0.468  0.750
Ir  0.532  0.125  0.250
Ir  0.218  0.625  0.250
Ir  0.875  0.782  0.750

=====

# 10
The following is a DFT calculation (GGA-PBE) of a relaxed Pm5TlPt3 crystal.

Computed properties:
formation enthalpy at 0 K = -69 kJ/mol of atoms
volume = 468.9 Å³/cell
SG = P6_3/mcm, No. 193
final energy = -50.67 eV per formula unit
calculated density = 10.7 g cm⁻³
M_tot = 0.00 μB/cell
DOS at the Fermi energy = 8.42 states/eV/f.u.

Lattice parameters (Å, degrees): 7.059 8.761 8.757 120.01 90.00 90.00
Sites, in units of the cell vectors:
Pm  0.000  0.667  0.333
Pm  0.250  0.298  0.298
Pm  0.500  0.667  0.333
Pm  0.250  0.000  0.702
Pm  0.750  0.298  0.000
Pm  0.750  0.702  0.702
Pm  0.250  0.702  0.000
Pm  0.000  0.333  0.667
Pm  0.500  0.333  0.667
Pm  0.750  0.000  0.298
Pt  0.250  0.379  0.000
Pt  0.750  0.621  0.000
Pt  0.250  0.621  0.621
Pt  0.750  0.379  0.379
Pt  0.250  0.000  0.379
Pt  0.750  0.000  0.621
Tl  0.000  0.000  0.000
Tl  0.500  0.000  0.000

=====

# 11
The following is a DFT calculation (GGA-PBE) of a relaxed Ac2Tl2GePd4 crystal.

Computed properties:
formation enthalpy at 0 K = -50 kJ/mol of atoms
volume = 216.3 Å³/cell
SG = I4/mmm, No. 139
final energy = -43.05 eV per formula unit
calculated density = 10.4 g cm⁻³
M_tot = 0.00 μB/cell
DOS at the Fermi energy = 4.53 states/eV/f.u.

Lattice parameters (Å, degrees): 6.651 6.651 6.651 95.15 117.07 117.07
Sites, in units of the cell vectors:
Tl  0.000  0.329  0.329
Tl  0.000  0.671  0.671
Ac  0.500  0.250  0.750
Ac  0.500  0.750  0.250
Pd  0.000  0.250  0.750
Pd  0.000  0.750  0.250
Pd  0.501  0.250  0.250
Pd  0.499  0.750  0.750
Ge  0.000  0.000  0.000

=====

# 12
The following is a DFT calculation (GGA-PBE) of a relaxed Tb2Nd4DyEr crystal.

Computed properties:
formation enthalpy at 0 K = 1 kJ/mol of atoms
volume = 266.1 Å³/cell
SG = P2/m, No. 10
final energy = -37.37 eV per formula unit
calculated density = 7.6 g cm⁻³
M_tot = 0.00 μB/cell
DOS at the Fermi energy = 10.67 states/eV/f.u.

Lattice parameters (Å, degrees): 5.144 5.118 11.334 63.11 90.00 90.00
Sites, in units of the cell vectors:
Tb  0.000  0.000  0.000
Tb  0.500  0.000  0.500
Dy  0.500  0.500  0.000
Er  0.000  0.500  0.500
Nd  0.500  0.251  0.750
Nd  0.000  0.751  0.749
Nd  0.500  0.749  0.250
Nd  0.000  0.249  0.251